Rb2TbCuI6: optimized geometry, PBE.

Cell: 8.300 8.300 8.444 Å, 60.47 60.47 89.87°
Fractional positions:
I 0.250 0.250 0.499
I 0.742 0.741 0.000
I 0.260 0.741 0.000
I 0.740 0.259 0.000
I 0.750 0.750 0.501
I 0.258 0.259 0.000
Rb 0.750 0.250 0.500
Rb 0.250 0.750 0.500
Tb 0.000 0.000 0.000
Cu 0.500 0.500 0.000

* ΔE_f (raw): -1.11 eV/atom
* DFT total energy: -3.109 eV/atom
* symmetry: C2/m, No. 12